Cd3Fe5O12 after structural relaxation, computed with GGA+U.

Output
Final energy = -449.556 eV per cell
DOS(E_F) = 5.44 states/eV/f.u.
Space group = Ia-3d, No. 230

a = 10.8636 Å, b = 10.8636 Å, c = 10.8636 Å
α = 109.47°, β = 109.47°, γ = 109.47°
Site moments in Bohr magnetons follow the coordinates.
Element x y z (fractional)
Cd  0.7500  0.3750  0.1250  0.03
Cd  0.8750  0.7500  0.1250  0.03
Cd  0.3750  0.7500  0.6250  0.03
Cd  0.2500  0.1250  0.3750  0.03
Cd  0.8750  0.1250  0.2500  0.03
Cd  0.3750  0.6250  0.2500  0.03
Cd  0.6250  0.3750  0.7500  0.03
Cd  0.1250  0.8750  0.7500  0.03
Cd  0.7500  0.8750  0.6250  0.03
Cd  0.6250  0.2500  0.3750  0.03
Cd  0.1250  0.2500  0.8750  0.03
Cd  0.2500  0.6250  0.8750  0.03
Fe  0.1250  0.3750  0.2500  4.14
Fe  0.0000  0.5000  0.0000  4.06
Fe  0.0000  0.0000  0.0000  4.06
Fe  0.3750  0.2500  0.1250  4.14
Fe  0.5000  0.0000  0.5000  4.06
Fe  0.5000  0.5000  0.0000  4.06
Fe  0.1250  0.7500  0.3750  4.14
Fe  0.7500  0.1250  0.8750  4.14
Fe  0.7500  0.6250  0.3750  4.14
Fe  0.3750  0.1250  0.7500  4.14
Fe  0.6250  0.8750  0.2500  4.14
Fe  0.5000  0.5000  0.5000  4.06
Fe  0.5000  0.0000  0.0000  4.06
Fe  0.0000  0.0000  0.5000  4.06
Fe  0.2500  0.3750  0.6250  4.14
Fe  0.2500  0.8750  0.1250  4.14
Fe  0.0000  0.5000  0.5000  4.06
Fe  0.8750  0.2500  0.6250  4.14
Fe  0.6250  0.7500  0.8750  4.14
Fe  0.8750  0.6250  0.7500  4.14
O  0.6953  0.1193  0.0199  0.07
O  0.3246  0.5199  0.4006  0.07
O  0.9801  0.3807  0.3047  0.07
O  0.5199  0.1953  0.1193  0.07
O  0.5760  0.6953  0.6754  0.07
O  0.9801  0.5994  0.1754  0.07
O  0.3246  0.8047  0.4240  0.07
O  0.0994  0.9240  0.1193  0.07
O  0.5994  0.9801  0.6754  0.07
O  0.6953  0.5760  0.1754  0.07
O  0.8047  0.4801  0.3807  0.07
O  0.8246  0.9006  0.0199  0.07
O  0.1193  0.6953  0.5199  0.07
O  0.3807  0.4006  0.0760  0.07
O  0.0760  0.9006  0.3807  0.07
O  0.4240  0.1193  0.5994  0.07
O  0.0760  0.1754  0.1953  0.07
O  0.4801  0.6754  0.0994  0.07
O  0.8246  0.9240  0.3047  0.07
O  0.1193  0.4240  0.0994  0.07
O  0.3807  0.9801  0.8047  0.07
O  0.5994  0.6193  0.4240  0.07
O  0.9006  0.8246  0.5199  0.07
O  0.8047  0.3246  0.9240  0.07
O  0.4006  0.3807  0.5760  0.07
O  0.0994  0.1754  0.4801  0.07
O  0.1953  0.6754  0.0760  0.07
O  0.1754  0.0760  0.6953  0.07
O  0.6193  0.0199  0.1953  0.07
O  0.8807  0.5760  0.9006  0.07
O  0.5199  0.3246  0.9006  0.07
O  0.5760  0.8807  0.4006  0.07
O  0.9240  0.8246  0.8047  0.07
O  0.9240  0.0994  0.6193  0.07
O  0.8807  0.3047  0.4801  0.07
O  0.1754  0.0994  0.9801  0.07
O  0.6193  0.5994  0.9240  0.07
O  0.4006  0.0199  0.3246  0.07
O  0.3047  0.4240  0.8246  0.07
O  0.1953  0.5199  0.6193  0.07
O  0.9006  0.0760  0.8807  0.07
O  0.6754  0.1953  0.5760  0.07
O  0.4801  0.8047  0.8807  0.07
O  0.0199  0.4006  0.8246  0.07
O  0.4240  0.3047  0.3246  0.07
O  0.0199  0.6193  0.6953  0.07
O  0.6754  0.4801  0.5994  0.07
O  0.3047  0.8807  0.9801  0.07